No. 1
Rb2YPdF6: optimized geometry, GGA-PBE.

POSCAR file:
```
Rb2YPdF6
1.0
6.713 0.000 0.000
0.000 6.713 0.000
3.357 3.357 4.371
Rb Pd F Y
2 1 6 1
direct
0.750 0.250 0.500
0.250 0.750 0.500
0.000 0.000 0.000
0.729 0.271 0.000
0.751 0.751 0.499
0.249 0.249 0.501
0.271 0.271 0.000
0.271 0.729 0.000
0.729 0.729 0.000
0.500 0.500 0.000
```

Computed properties:
Electronic total energy   -5.27 eV/atom
Magnetic moment   0.1000 μB per atom
Formation energy (no corrections)   -2.79 eV/atom
D(E_F)   0.0 states/eV per cell
Space-group type   I4/mmm

---

No. 2
Rb2YPd3F12: optimized geometry, GGA-PBE.

POSCAR file:
```
Rb2YPd3F12
1.0
-0.456 -6.916 3.825
-2.669 -6.363 -3.882
5.091 -5.765 -1.876
Y F Pd Rb
1 12 3 2
direct
0.000 0.000 0.000
0.307 0.948 0.307
0.670 0.080 0.080
0.693 0.052 0.693
0.080 0.670 0.080
0.920 0.920 0.330
0.920 0.330 0.920
0.693 0.693 0.052
0.080 0.080 0.670
0.330 0.920 0.920
0.948 0.307 0.307
0.052 0.693 0.693
0.307 0.307 0.948
0.000 0.000 0.500
0.500 0.000 0.000
0.000 0.500 0.000
0.679 0.679 0.679
0.321 0.321 0.321
```

Computed properties:
Electronic total energy   -4.76 eV/atom
Magnetic moment   0.1126 μB per atom
Formation energy (no corrections)   -2.18 eV/atom
D(E_F)   4.9 states/eV per cell
Space-group type   R-3m

---

No. 3
Rb2Zn3PdF12: optimized geometry, GGA-PBE.

POSCAR file:
```
Rb2Zn3PdF12
1.0
-2.907 2.253 -6.710
0.822 -4.065 -6.431
-5.842 -3.598 -3.387
Zn F Pd Rb
3 12 1 2
direct
0.000 0.000 0.500
0.000 0.500 0.000
0.500 0.000 0.000
0.926 0.314 0.926
0.074 0.074 0.686
0.325 0.325 0.924
0.686 0.074 0.074
0.076 0.675 0.675
0.074 0.686 0.074
0.314 0.926 0.926
0.675 0.076 0.675
0.325 0.924 0.325
0.926 0.926 0.314
0.924 0.325 0.325
0.675 0.675 0.076
0.000 0.000 0.000
0.394 0.394 0.394
0.606 0.606 0.606
```

Computed properties:
Electronic total energy   -4.04 eV/atom
Magnetic moment   0.0000 μB per atom
Formation energy (no corrections)   -2.18 eV/atom
Space-group type   R-3m

---

No. 4
RbZnPdF6: optimized geometry, GGA-PBE.

POSCAR file:
```
RbZnPdF6
1.0
-4.290 -2.766 5.145
0.859 -7.348 -3.234
5.879 4.215 2.064
F Pd Zn Rb
12 2 2 2
direct
0.430 0.680 0.861
0.176 0.926 0.352
0.825 0.677 0.247
0.578 0.323 0.753
0.175 0.323 0.753
0.578 0.930 0.753
0.422 0.070 0.247
0.422 0.677 0.247
0.570 0.320 0.139
0.175 0.930 0.753
0.824 0.074 0.648
0.825 0.070 0.247
0.500 0.500 0.000
0.500 0.000 0.000
0.000 0.000 0.500
0.500 0.000 0.500
0.108 0.358 0.216
0.892 0.642 0.784
```

Computed properties:
Electronic total energy   -4.08 eV/atom
Magnetic moment   0.0000 μB per atom
Formation energy (no corrections)   -2.00 eV/atom
D(E_F)   0.6 states/eV per cell
Space-group type   Imma

---

No. 5
RbZrPdF2: optimized geometry, GGA-PBE.

POSCAR file:
```
RbZrPdF2
1.0
5.009 0.000 0.000
0.000 4.913 0.000
0.000 0.000 5.009
Pd F Rb Zr
1 2 1 1
direct
0.000 0.000 0.000
0.500 0.000 0.000
0.000 0.000 0.500
0.500 0.500 0.500
0.000 0.500 0.000
```

Computed properties:
Electronic total energy   -4.10 eV/atom
Magnetic moment   0.4917 μB per atom
Formation energy (no corrections)   -0.41 eV/atom
D(E_F)   4.3 states/eV per cell
Space-group type   P4/mmm

---

No. 6
RePdF2: optimized geometry, GGA-PBE.

POSCAR file:
```
RePdF2
1.0
7.124 0.000 0.000
0.000 7.124 0.000
3.562 3.562 2.494
F Re Pd
4 2 2
direct
0.745 0.125 0.250
0.875 0.995 0.750
0.005 0.625 0.250
0.375 0.255 0.750
0.750 0.250 0.500
0.000 0.000 0.000
0.250 0.750 0.500
0.500 0.500 0.000
```

Computed properties:
Electronic total energy   -5.32 eV/atom
Magnetic moment   0.0058 μB per atom
Formation energy (no corrections)   0.03 eV/atom
D(E_F)   8.3 states/eV per cell
Space-group type   I-42d

---

No. 7
Re3PdF: optimized geometry, GGA-PBE.

POSCAR file:
```
Re3PdF
1.0
4.181 0.000 0.000
0.000 4.181 0.000
0.000 0.000 4.181
Re F Pd
3 1 1
direct
0.000 0.000 0.500
0.000 0.500 0.000
0.500 0.000 0.000
0.000 0.000 0.000
0.500 0.500 0.500
```

Computed properties:
Electronic total energy   -7.61 eV/atom
Magnetic moment   0.0000 μB per atom
Formation energy (no corrections)   1.28 eV/atom
D(E_F)   4.0 states/eV per cell
Space-group type   Pm-3m

---

No. 8
RePdF2: optimized geometry, GGA-PBE.

POSCAR file:
```
RePdF2
1.0
-3.498 6.997 2.647
-0.899 7.648 2.983
-2.072 7.974 0.573
F Re Pd
2 1 1
direct
0.913 0.913 0.913
0.087 0.087 0.087
0.500 0.500 0.500
0.000 0.000 0.000
```

Computed properties:
Electronic total energy   -5.64 eV/atom
Magnetic moment   0.0000 μB per atom
Formation energy (no corrections)   -0.29 eV/atom
D(E_F)   3.0 states/eV per cell
Space-group type   R-3m